TiFeI2N after structural relaxation. Source: Alexandria via LeMat-Bulk, functional GGA-PBE.

Calculated values
D(E_F) = 5.23 states/eV/f.u.
total magnetization = 0.69 μB/atom
E_form (uncorrected) = 0.3478 eV/atom
space group = P4/mmm
energy above the lowest structure with this stoichiometry = 0.0000 eV per atom

a b c (Å): 5.670 5.670 3.743
angles (deg): 90.00 90.00 90.00
Last column: magnetic moment on the atom in μB.
Atoms (fractional coordinates):
I 0.000 0.500 0.000  0.02
I 0.500 0.000 0.000  0.02
Fe 0.500 0.500 0.500  3.18
Ti 0.000 0.000 0.000  0.01
N 0.000 0.000 0.500  -0.01

S5Cl2O2 after structural relaxation. Source: Alexandria via LeMat-Bulk, functional GGA-PBE.

Calculated values
total magnetization = 0.00 μB/atom
E_form (uncorrected) = -0.2286 eV/atom
space group = C2

a b c (Å): 11.373 6.019 9.963
angles (deg): 109.46 124.80 90.00
Atoms (fractional coordinates):
Cl 0.662 0.500 0.000
Cl 0.183 0.000 0.000
Cl 0.689 0.056 0.379
Cl 0.310 0.944 0.621
S 0.895 0.191 0.475
S 0.313 0.414 0.250
S 0.420 0.809 0.525
S 0.125 0.592 0.132
S 0.826 0.383 0.262
S 0.993 0.408 0.868
S 0.747 0.950 0.869
S 0.563 0.617 0.738
S 0.878 0.050 0.131
S 0.063 0.586 0.750
O 0.957 0.584 0.371
O 0.192 0.513 0.766
O 0.426 0.487 0.234
O 0.586 0.416 0.629

In2IrPb after structural relaxation. Source: Alexandria via LeMat-Bulk, functional GGA-PBE.

Calculated values
D(E_F) = 2.10 states/eV/f.u.
total magnetization = 0.00 μB/atom
space group = P4/mmm
total energy = -4.142 eV/atom

a b c (Å): 4.550 4.550 4.309
angles (deg): 90.00 90.00 90.00
Atoms (fractional coordinates):
In 0.500 0.500 0.000
In 0.000 0.000 0.000
Ir 0.500 0.000 0.500
Pb 0.000 0.500 0.500

Sr4SnIr after structural relaxation. Source: Alexandria via LeMat-Bulk, functional GGA-PBE.

Calculated values
D(E_F) = 4.19 states/eV/f.u.
total magnetization = 0.00 μB/atom
space group = C2/c
total energy = -3.630 eV/atom

a b c (Å): 6.658 8.821 8.821
angles (deg): 112.89 104.00 104.00
Atoms (fractional coordinates):
Ir 0.250 0.999 0.001
Ir 0.750 0.001 0.999
Sn 0.750 0.635 0.365
Sn 0.250 0.365 0.635
Sr 0.180 0.349 0.221
Sr 0.070 0.948 0.281
Sr 0.430 0.719 0.052
Sr 0.930 0.052 0.719
Sr 0.570 0.281 0.948
Sr 0.820 0.651 0.779
Sr 0.680 0.221 0.349
Sr 0.320 0.779 0.651

NdY2Os after structural relaxation. Source: Alexandria via LeMat-Bulk, functional GGA-PBE.

Calculated values
D(E_F) = 3.62 states/eV/f.u.
total magnetization = 0.00 μB/atom
space group = Pnma
energy above the lowest structure with this stoichiometry = 0.0000 eV per atom

a b c (Å): 6.473 7.470 9.187
angles (deg): 90.00 90.00 90.00
Atoms (fractional coordinates):
Y 0.666 0.826 0.565
Y 0.334 0.174 0.435
Y 0.834 0.326 0.935
Y 0.166 0.674 0.435
Y 0.166 0.674 0.065
Y 0.666 0.826 0.935
Y 0.834 0.326 0.565
Y 0.334 0.174 0.065
Nd 0.630 0.541 0.250
Nd 0.130 0.959 0.750
Nd 0.370 0.459 0.750
Nd 0.870 0.041 0.250
Os 0.545 0.116 0.750
Os 0.045 0.384 0.250
Os 0.455 0.884 0.250
Os 0.955 0.616 0.750

PrHoAgRu after structural relaxation. Source: Alexandria via LeMat-Bulk, functional GGA-PBE.

Calculated values
D(E_F) = 3.09 states/eV/f.u.
total magnetization = 0.00 μB/atom
space group = F-43m
energy above the lowest structure with this stoichiometry = 0.0728 eV per atom

a b c (Å): 5.053 5.053 5.053
angles (deg): 60.00 60.00 60.00
Atoms (fractional coordinates):
Ag 0.000 0.000 0.000
Ru 0.500 0.500 0.500
Ho 0.250 0.250 0.250
Pr 0.750 0.750 0.750